VASP calculation (PBE with a Hubbard U) on crystalline Rb2YW3O12 at its relaxed geometry.

abc: 7.5145 7.5145 18.8903
angles: 90.00 90.00 120.00
Space group R-3m (No. 166, hexagonal axes)
Asymmetric unit:
Rb  0.0000  0.0000  0.1343 [6 per cell]
Y  0.0000  0.0000  0.5000 [3 per cell]
W  0.0000  0.5000  0.0000 [9 per cell]
O  0.0442  0.5221  0.0996 [18 per cell]
O  0.0880  0.5440  0.3445 [18 per cell]

Total magnetization ... 0.055 μB per atom
Calculated total energy ... -0.2624 Ha/atom